No. 1
Below is a geometry-optimized BaBe2In structure, with properties calculated at the GGA-PBE level.

```
4
Lattice="4.9979 0.0000 0.0000 0.0000 4.9979 0.0000 0.0000 0.0000 3.7827" Properties=species:S:1:pos:R:3 pbc="T T T"
Ba 0.0000 0.0000 0.0000
Be 0.0000 2.4989 1.8913
Be 2.4989 0.0000 1.8913
In 2.4989 2.4989 0.0000
```

Properties
Energy of formation from the pure elements, eV per formula unit: 2.9
Total magnetic moment, Bohr magnetons per cell: 0.00
Mass density, g/cm³: 4.75
SG: P4/mmm

---

No. 2
Below is a geometry-optimized BaBeIn2 structure, with properties calculated at the GGA-PBE level.

```
4
Lattice="3.1918 -5.9224 0.0000 3.1918 5.9224 0.0000 -1.9047 0.0000 3.1711" Properties=species:S:1:pos:R:3 pbc="T T T"
Ba 0.0000 0.0000 0.0000
Be 3.1918 0.0000 0.0000
In 0.6436 2.9612 1.5856
In 0.6436 -2.9612 1.5856
```

Properties
Energy of formation from the pure elements, eV per formula unit: 1.7
Total magnetic moment, Bohr magnetons per cell: 0.00
Mass density, g/cm³: 5.21
SG: C2/m

---

No. 3
Below is a geometry-optimized BaBe2In structure, with properties calculated at the GGA-PBE level.

```
4
Lattice="-2.5398 2.5398 3.6044 2.5398 -2.5398 3.6044 2.5398 2.5398 -3.6044" Properties=species:S:1:pos:R:3 pbc="T T T"
Ba 0.0000 0.0000 0.0000
Be 2.5398 0.0000 1.8022
Be 0.0000 0.0000 3.6044
In 0.0000 2.5398 1.8022
```

Properties
Energy of formation from the pure elements, eV per formula unit: 2.7
Total magnetic moment, Bohr magnetons per cell: 0.00
Mass density, g/cm³: 4.82
SG: I-4m2

---

No. 4
Below is a geometry-optimized BaBeIn2 structure, with properties calculated at the GGA-PBE level.

```
4
Lattice="4.3156 0.0000 0.0000 0.0000 4.4555 0.0000 -2.1296 0.0000 6.2049" Properties=species:S:1:pos:R:3 pbc="T T T"
Ba 0.0000 0.0000 0.0000
Be 2.1613 2.2278 1.8937
In 0.0033 2.2278 3.6299
In 2.1524 0.0000 2.7458
```

Properties
Energy of formation from the pure elements, eV per formula unit: 0.2
Total magnetic moment, Bohr magnetons per cell: 0.00
Mass density, g/cm³: 5.23
SG: Pm